Computed, not measured: crystalline Tb2Pm6NdY at its relaxed geometry at the PBE level of DFT.

Cell lengths 9.7676, 8.9600, 8.9600 Å; angles 118.15, 94.12, 94.12 degrees
With the nearest neighbours (Å) after each atom.
Sites, in units of the cell vectors:
Nd (0.7500, 0.5930, 0.4070)  6 Pm 3.48-3.62, 2 Tb 3.62
Pm (0.8793, 0.2921, 0.5032)  3 Pm 3.28-3.44, 3 Tb 3.31-3.48, 2 Nd 3.48-3.62
Pm (0.9454, 0.8820, 0.2439)  7 Pm 3.44-3.83, 1 Tb 3.48, 1 Y 3.71
Pm (0.3154, 0.9794, 0.4307)  3 Pm 3.28-3.66, 1 Tb 3.48, 1 Nd 3.53, 1 Y 3.62
Pm (0.1207, 0.7079, 0.4968)  3 Pm 3.28-3.44, 3 Tb 3.31-3.48, 2 Nd 3.48-3.62
Tb (0.4561, 0.8057, 0.7035)  6 Pm 3.31-3.70, 2 Y 3.42-3.44, 1 Nd 3.62
Pm (0.5546, 0.7561, 0.1180)  7 Pm 3.44-3.83, 1 Tb 3.48, 1 Y 3.71
Pm (0.8154, 0.4307, 0.9794)  3 Pm 3.28-3.66, 1 Tb 3.48, 1 Nd 3.53, 1 Y 3.62
Tb (0.5439, 0.1943, 0.2965)  6 Pm 3.31-3.70, 2 Y 3.42-3.44, 1 Nd 3.62
Y (0.7500, 0.0255, 0.9745)  4 Tb 3.42-3.44, 4 Pm 3.62-3.71
Tb (0.0439, 0.2965, 0.1943)  6 Pm 3.31-3.70, 2 Y 3.42-3.44, 1 Nd 3.62
Pm (0.6207, 0.4968, 0.7079)  3 Pm 3.28-3.44, 3 Tb 3.31-3.48, 2 Nd 3.48-3.62
Pm (0.6846, 0.0206, 0.5693)  3 Pm 3.28-3.66, 1 Tb 3.48, 1 Nd 3.53, 1 Y 3.62
Nd (0.2500, 0.4070, 0.5930)  6 Pm 3.48-3.62, 2 Tb 3.62
Tb (0.9561, 0.7035, 0.8057)  6 Pm 3.31-3.70, 2 Y 3.42-3.44, 1 Nd 3.62
Pm (0.1846, 0.5693, 0.0206)  3 Pm 3.28-3.66, 1 Tb 3.48, 1 Nd 3.53, 1 Y 3.62
Pm (0.3793, 0.5032, 0.2921)  3 Pm 3.28-3.44, 3 Tb 3.31-3.48, 2 Nd 3.48-3.62
Pm (0.4454, 0.2439, 0.8820)  7 Pm 3.44-3.83, 1 Tb 3.48, 1 Y 3.71
Y (0.2500, 0.9745, 0.0255)  4 Tb 3.42-3.44, 4 Pm 3.62-3.71
Pm (0.0546, 0.1180, 0.7561)  7 Pm 3.44-3.83, 1 Tb 3.48, 1 Y 3.71

Calculated values
* SG: No. 15
* DOS at the Fermi energy: 1.4851 states/eV/atom
* DFT formation energy: 1.15 eV/f.u.
* crystal system: monoclinic
* E: -4.785 eV/atom

---

Computed, not measured: crystalline PmAg5Pd6 at its relaxed geometry at the PBE level of DFT.

Cell lengths 4.2631, 7.8092, 7.7015 Å; angles 120.46, 106.07, 90.00 degrees
With the nearest neighbours (Å) after each atom.
Sites, in units of the cell vectors:
Pd (0.1680, 0.4192, 0.3360)  7 Ag 2.79-2.90, 1 Pm 2.88, 4 Pd 2.97-3.00
Pd (0.5000, 0.2559, 0.0000)  6 Ag 2.84-2.95, 2 Pm 2.92, 4 Pd 3.00
Ag (0.0000, 0.5000, 0.0000)  8 Pd 2.86-2.87, 4 Ag 2.99
Ag (0.3329, 0.3329, 0.6659)  8 Pd 2.84-2.88, 4 Ag 2.93-2.99
Pd (0.5000, 0.7441, 0.0000)  6 Ag 2.84-2.95, 2 Pm 2.92, 4 Pd 3.00
Pm (0.0000, 0.0000, 0.0000)  8 Pd 2.88-2.92, 4 Ag 3.05
Ag (0.3270, 0.8270, 0.6540)  8 Pd 2.79-2.95, 2 Ag 2.93, 2 Pm 3.05
Pd (0.8320, 0.0832, 0.6640)  7 Ag 2.79-2.90, 1 Pm 2.88, 4 Pd 2.97-3.00
Pd (0.8320, 0.5808, 0.6640)  7 Ag 2.79-2.90, 1 Pm 2.88, 4 Pd 2.97-3.00
Ag (0.6730, 0.1730, 0.3460)  8 Pd 2.79-2.95, 2 Ag 2.93, 2 Pm 3.05
Pd (0.1680, 0.9168, 0.3360)  7 Ag 2.79-2.90, 1 Pm 2.88, 4 Pd 2.97-3.00
Ag (0.6671, 0.6671, 0.3341)  8 Pd 2.84-2.88, 4 Ag 2.93-2.99

Calculated values
* SG: No. 71
* DOS at the Fermi energy: 0.4054 states/eV/atom
* DFT formation energy: -2.90 eV/f.u.
* crystal system: orthorhombic
* E: -4.422 eV/atom

---

Computed, not measured: crystalline ErTh4Te5 at its relaxed geometry at the PBE level of DFT.

Cell lengths 3.8416, 3.8416, 19.1208 Å; angles 90.00, 90.00, 90.00 degrees
With the nearest neighbours (Å) after each atom.
Sites, in units of the cell vectors:
Th (0.0000, 0.0000, 0.3988)  8 Te 3.33
Te (0.5000, 0.5000, 0.9026)  4 Er 3.29, 4 Th 3.32
Th (0.0000, 0.0000, 0.1972)  8 Te 3.32-3.33
Te (0.5000, 0.5000, 0.5000)  8 Th 3.33
Er (0.0000, 0.0000, 0.0000)  8 Te 3.29
Te (0.5000, 0.5000, 0.7017)  8 Th 3.33
Th (0.0000, 0.0000, 0.8028)  8 Te 3.32-3.33
Th (0.0000, 0.0000, 0.6012)  8 Te 3.33
Te (0.5000, 0.5000, 0.2983)  8 Th 3.33
Te (0.5000, 0.5000, 0.0974)  4 Er 3.29, 4 Th 3.32

Calculated values
* SG: No. 123
* DOS at the Fermi energy: 0.8284 states/eV/atom
* crystal system: tetragonal
* E: -6.085 eV/atom

---

Computed, not measured: crystalline CeGdCd4 at its relaxed geometry at the PBE level of DFT.

Cell lengths 5.9562, 5.9562, 5.9562 Å; angles 60.00, 60.00, 60.00 degrees
With the nearest neighbours (Å) after each atom.
Sites, in units of the cell vectors:
Ce (0.2500, 0.2500, 0.2500)  12 Cd 3.49, 4 Gd 3.65
Cd (0.6250, 0.6250, 0.1251)  6 Cd 2.98
Cd (0.1251, 0.6250, 0.6250)  6 Cd 2.98
Gd (0.0000, 0.0000, 0.0000)  12 Cd 3.49, 4 Ce 3.65
Cd (0.6250, 0.1251, 0.6250)  6 Cd 2.98
Cd (0.6250, 0.6250, 0.6250)  6 Cd 2.98

Calculated values
* SG: No. 216
* DOS at the Fermi energy: 1.6553 states/eV/atom
* DFT formation energy: -1.42 eV/f.u.
* crystal system: cubic
* E: -4.183 eV/atom

---

Computed, not measured: crystalline ScUOs4 at its relaxed geometry at the PBE level of DFT.

Cell lengths 5.2875, 5.2875, 5.2875 Å; angles 60.00, 60.00, 60.00 degrees
With the nearest neighbours (Å) after each atom.
Sites, in units of the cell vectors:
U (0.0000, 0.0000, 0.0000)  12 Os 3.10, 4 Sc 3.24
Os (0.1263, 0.6246, 0.6246)  6 Os 2.63-2.65
Sc (0.2500, 0.2500, 0.2500)  12 Os 3.10, 4 U 3.24
Os (0.6246, 0.6246, 0.1263)  6 Os 2.63-2.65
Os (0.6246, 0.1263, 0.6246)  6 Os 2.63-2.65
Os (0.6246, 0.6246, 0.6246)  6 Os 2.63-2.65

Calculated values
* SG: No. 216
* DOS at the Fermi energy: 1.4885 states/eV/atom
* DFT formation energy: -1.06 eV/f.u.
* crystal system: cubic
* E: -10.601 eV/atom

---

Computed, not measured: crystalline AlCrRu2 at its relaxed geometry at the PBE level of DFT.

Cell lengths 4.8810, 4.8810, 4.8810 Å; angles 136.53, 136.53, 63.17 degrees
With the nearest neighbours (Å) after each atom.
Sites, in units of the cell vectors:
Ru (0.2500, 0.7500, 0.5000)  4 Cr 2.56, 4 Al 2.75, 4 Ru 2.75
Cr (0.7500, 0.2500, 0.5000)  8 Ru 2.56-2.75, 4 Al 2.75
Ru (0.0000, 0.0000, 0.0000)  4 Al 2.56, 4 Cr 2.75, 4 Ru 2.75
Al (0.5000, 0.5000, 0.0000)  8 Ru 2.56-2.75, 4 Cr 2.75

Calculated values
* SG: No. 119
* DOS at the Fermi energy: 0.9759 states/eV/atom
* DFT formation energy: -0.63 eV/f.u.
* crystal system: tetragonal
* E: -8.137 eV/atom

---

Computed, not measured: crystalline Li5NbPd6 at its relaxed geometry at the PBE level of DFT.

Cell lengths 4.3139, 6.1476, 6.7316 Å; angles 90.00, 71.31, 90.00 degrees
With the nearest neighbours (Å) after each atom.
Sites, in units of the cell vectors:
Li (0.3338, 0.5000, 0.3325)  8 Pd 2.59-2.64
Li (0.0000, 0.5000, 0.0000)  8 Pd 2.61-2.62
Pd (0.8332, 0.2536, 0.3336)  7 Li 2.61-2.66, 1 Nb 2.64
Li (0.6662, 0.5000, 0.6675)  8 Pd 2.59-2.64
Li (0.3307, 0.0000, 0.3387)  8 Pd 2.61-2.68
Pd (0.5000, 0.7418, 0.0000)  6 Li 2.59-2.68, 2 Nb 2.68
Pd (0.1668, 0.7464, 0.6664)  7 Li 2.61-2.66, 1 Nb 2.64
Nb (0.0000, 0.0000, 0.0000)  8 Pd 2.64-2.68
Pd (0.5000, 0.2582, 0.0000)  6 Li 2.59-2.68, 2 Nb 2.68
Pd (0.8332, 0.7464, 0.3336)  7 Li 2.61-2.66, 1 Nb 2.64
Pd (0.1668, 0.2536, 0.6664)  7 Li 2.61-2.66, 1 Nb 2.64
Li (0.6693, 0.0000, 0.6613)  8 Pd 2.61-2.68

Calculated values
* SG: No. 65
* DOS at the Fermi energy: 0.3994 states/eV/atom
* DFT formation energy: -4.97 eV/f.u.
* crystal system: orthorhombic
* E: -4.648 eV/atom

---

Computed, not measured: crystalline Ac3Te2O2 at its relaxed geometry at the PBE level of DFT.

Cell lengths 4.3160, 9.0037, 11.6739 Å; angles 75.01, 79.35, 76.13 degrees
With the nearest neighbours (Å) after each atom.
Sites, in units of the cell vectors:
O (0.9518, 0.7721, 0.3243)  4 Ac 2.40-2.64
Te (0.4050, 0.2327, 0.9573)  6 Ac 3.49-3.59, 3 O 3.82-3.89
Ac (0.9078, 0.0113, 0.1732)  1 O 2.40
Te (0.2552, 0.1398, 0.3498)  6 Ac 3.32-3.53
Ac (0.0922, 0.9887, 0.8268)  1 O 2.40
Te (0.7448, 0.8602, 0.6502)  6 Ac 3.32-3.53
O (0.4319, 0.4945, 0.6418)  4 Ac 2.48-2.57
O (0.5681, 0.5055, 0.3582)  4 Ac 2.48-2.57
O (0.0482, 0.2279, 0.6757)  4 Ac 2.40-2.64
Ac (0.4055, 0.7284, 0.4605)  4 O 2.49-2.64
Ac (0.5945, 0.2716, 0.5395)  4 O 2.49-2.64
Ac (0.8924, 0.4638, 0.7515)  3 O 2.41-2.48
Ac (0.1076, 0.5362, 0.2485)  3 O 2.41-2.48
Te (0.5950, 0.7673, 0.0427)  6 Ac 3.49-3.59, 3 O 3.82-3.89

Calculated values
* SG: No. 12
* DOS at the Fermi energy: 0.2047 states/eV/atom
* crystal system: monoclinic
* E: -6.519 eV/atom
* energy relative to the lowest polymorph listed for this composition: 0.00 eV/f.u.

---

Computed, not measured: crystalline LuPaTe at its relaxed geometry at the PBE level of DFT.

Cell lengths 3.6955, 3.6955, 6.5691 Å; angles 106.34, 106.34, 90.00 degrees
With the nearest neighbours (Å) after each atom.
Sites, in units of the cell vectors:
Pa (0.0107, 0.0107, 0.0214)  4 Te 3.25, 4 Lu 3.49
Lu (0.3185, 0.3185, 0.6370)  4 Te 3.16, 4 Pa 3.49
Te (0.6708, 0.6708, 0.3416)  4 Lu 3.16, 4 Pa 3.25

Calculated values
* SG: No. 107
* DOS at the Fermi energy: 2.0392 states/eV/atom
* crystal system: tetragonal
* E: -6.072 eV/atom
* energy relative to the lowest polymorph listed for this composition: 0.00 eV/f.u.

---

Computed, not measured: crystalline BeCo2As at its relaxed geometry at the PBE level of DFT.

Cell lengths 4.4654, 4.4654, 4.4654 Å; angles 135.65, 135.63, 64.53 degrees
With the nearest neighbours (Å) after each atom.
Sites, in units of the cell vectors:
Co (0.0000, 0.0000, 0.0000)  4 As 2.38, 4 Be 2.53, 4 Co 2.53
Be (0.2500, 0.7500, 0.5000)  8 Co 2.38-2.53, 4 As 2.53
As (0.5000, 0.5000, 0.0000)  8 Co 2.38-2.53, 4 Be 2.53
Co (0.7500, 0.2500, 0.5000)  4 Be 2.38, 4 As 2.53, 4 Co 2.53

Calculated values
* SG: No. 119
* DOS at the Fermi energy: 0.9271 states/eV/atom
* DFT formation energy: -0.28 eV/f.u.
* crystal system: tetragonal
* E: -5.717 eV/atom
* energy relative to the lowest polymorph listed for this composition: 0.44 eV/f.u.

---

Computed, not measured: crystalline Ag2WAu at its relaxed geometry at the PBE level of DFT.

Cell lengths 5.1003, 5.1003, 5.1003 Å; angles 133.00, 133.00, 68.66 degrees
With the nearest neighbours (Å) after each atom.
Sites, in units of the cell vectors:
Ag (0.5000, 0.5000, 0.0000)  4 Ag 2.88, 4 Au 2.93, 4 W 2.93
Au (0.2500, 0.7500, 0.5000)  4 W 2.88, 8 Ag 2.93
W (0.7500, 0.2500, 0.5000)  4 Au 2.88, 8 Ag 2.93
Ag (0.0000, 0.0000, 0.0000)  4 Ag 2.88, 4 W 2.93, 4 Au 2.93

Calculated values
* SG: No. 139
* DOS at the Fermi energy: 0.8992 states/eV/atom
* DFT formation energy: 2.97 eV/f.u.
* crystal system: tetragonal
* E: -4.740 eV/atom
* energy relative to the lowest polymorph listed for this composition: 1.66 eV/f.u.